The following is a DFT calculation (GGA-PBE) of a relaxed Sm3BC4 crystal.

The structure in POSCAR format:
```
Sm3BC4
1.0
-2.050 -3.063 -0.613
2.472 -1.024 -3.149
4.635 -2.064 6.197
Sm C B
3 4 1
Cartesian
4.301 -3.124 1.223 Sm
0.211 -2.044 -1.881 Sm
0.756 -3.027 1.211 Sm
2.158 -4.303 2.898 C
2.343 -4.691 4.219 C
2.715 -1.460 -1.784 C
2.900 -1.848 -0.463 C
0.000 0.000 0.000 B
```

Output
Symmetry = No. 12
Crystal system = monoclinic
Energy of formation = -0.13 eV per atom
Raw total energy = -7.3427 eV/atom
Magnetization = 0.0 μB per formula unit